(1)
# LiPmPrRu, optimized geometry, DFT PBE-GGA
data_LiPmPrRu
_cell_length_a 5.074
_cell_length_b 5.074
_cell_length_c 5.074
_cell_angle_alpha 60.00
_cell_angle_beta 60.00
_cell_angle_gamma 60.00
_space_group_name_H-M_alt 'P 1'
_space_group_IT_number 1
loop_
_space_group_symop_operation_xyz
'x,y,z'
loop_
_atom_site_label
_atom_site_fract_x
_atom_site_fract_y
_atom_site_fract_z
Pm1 0.500 0.500 0.500
Ru1 0.750 0.750 0.750
Pr1 0.000 0.000 0.000
Li1 0.250 0.250 0.250
# **Crystal system**: cubic
# **Symmetry**: F-43m, No. 216

***

(2)
# Mg6Zn5Pd, optimized geometry, DFT PBE-GGA
data_Mg6Zn5Pd
_cell_length_a 4.776
_cell_length_b 6.293
_cell_length_c 7.411
_cell_angle_alpha 90.00
_cell_angle_beta 108.73
_cell_angle_gamma 90.00
_space_group_name_H-M_alt 'P 1'
_space_group_IT_number 1
loop_
_space_group_symop_operation_xyz
'x,y,z'
loop_
_atom_site_label
_atom_site_fract_x
_atom_site_fract_y
_atom_site_fract_z
Mg1 0.887 0.755 0.675
Zn1 0.000 0.500 0.000
Zn2 0.615 0.500 0.343
Mg2 0.113 0.245 0.325
Mg3 0.887 0.245 0.675
Mg4 0.113 0.755 0.325
Mg5 0.500 0.757 0.000
Pd1 0.000 0.000 0.000
Zn3 0.605 0.000 0.337
Zn4 0.385 0.500 0.657
Zn5 0.395 0.000 0.663
Mg6 0.500 0.243 0.000
# **Crystal system**: monoclinic
# **Symmetry**: P2/m, No. 10

***

(3)
# Ca6PdRh2, optimized geometry, DFT PBE-GGA
data_Ca6PdRh2
_cell_length_a 8.601
_cell_length_b 8.601
_cell_length_c 8.601
_cell_angle_alpha 103.12
_cell_angle_beta 112.05
_cell_angle_gamma 113.43
_space_group_name_H-M_alt 'P 1'
_space_group_IT_number 1
loop_
_space_group_symop_operation_xyz
'x,y,z'
loop_
_atom_site_label
_atom_site_fract_x
_atom_site_fract_y
_atom_site_fract_z
Rh1 0.317 0.000 0.317
Ca1 0.108 0.284 0.824
Rh2 0.500 0.372 0.872
Ca2 0.892 0.716 0.176
Ca3 0.318 0.977 0.658
Ca4 0.193 0.243 0.435
Rh3 0.500 0.628 0.128
Ca5 0.460 0.284 0.176
Ca6 0.540 0.716 0.824
Pd1 0.000 0.500 0.500
Ca7 0.807 0.243 0.050
Pd2 0.000 0.000 0.000
Rh4 0.683 0.000 0.683
Ca8 0.807 0.757 0.565
Ca9 0.193 0.757 0.950
Ca10 0.682 0.023 0.342
Ca11 0.318 0.660 0.342
Ca12 0.682 0.340 0.658
# **Crystal system**: orthorhombic
# **Symmetry**: Immm, No. 71

***

no.,calculated formation energy (eV/atom),magnetic moment (μB/f.u.)
1,-0.14,0.000
2,-0.21,0.000
3,-0.39,0.000